# 1
This record from Alexandria describes a geometry-optimized Ac2Ga4Pd3Ru structure. The functional is PBE-GGA.

Results
Space-group type ... P-4m2 (115)

The structure in POSCAR format:
```
Ac2Ga4Pd3Ru
1.0
4.450 0.000 0.000
0.000 4.450 0.000
0.000 0.000 10.382
Ac Ga Pd Ru
2 4 3 1
direct
0.000 0.500 0.242
0.500 0.000 0.758
0.000 0.000 0.500
0.000 0.500 0.881
0.500 0.000 0.119
0.500 0.500 0.500
0.000 0.000 0.000
0.000 0.500 0.629
0.500 0.000 0.371
0.500 0.500 0.000
```


# 2
This record from Alexandria describes a geometry-optimized Ac2Ga6PdRu structure. The functional is PBE-GGA.

Results
Space-group type ... C2/m (12)

The structure in POSCAR format:
```
Ac2Ga6PdRu
1.0
6.198 -2.847 0.000
6.198 2.847 0.000
-5.522 0.000 6.260
Ac Ga Pd Ru
2 6 1 1
direct
0.245 0.245 0.185
0.755 0.755 0.815
0.219 0.721 0.723
0.252 0.252 0.621
0.279 0.781 0.277
0.721 0.219 0.723
0.748 0.748 0.379
0.781 0.279 0.277
0.000 0.000 0.500
0.500 0.500 0.000
```


# 3
This record from Alexandria describes a geometry-optimized AcGa3PdRu structure. The functional is PBE-GGA.

Results
Space-group type ... Cmcm (63)

The structure in POSCAR format:
```
AcGa3PdRu
1.0
3.817 -5.665 0.000
3.817 5.665 0.000
0.000 0.000 6.185
Ac Ga Pd Ru
2 6 2 2
direct
0.249 0.751 0.750
0.751 0.249 0.250
0.246 0.754 0.250
0.247 0.247 0.000
0.247 0.247 0.500
0.753 0.753 0.000
0.753 0.753 0.500
0.754 0.246 0.750
0.457 0.543 0.250
0.543 0.457 0.750
0.041 0.959 0.250
0.959 0.041 0.750
```


We obtain uncorrected energy values of -5.2473; -4.5713; -5.0387 eV per atom for the records listed above, in that order.
We obtain DOS(E_F) values of 5.3; 4.7; 6.8 states/eV/cell for the records listed above, in that order.